Here is crystalline Pm2Nd5In5 at its relaxed geometry from Alexandria via LeMat-Bulk. Energies are from PBE.

Calculated values
V ... 363.6 Å³ per cell
Crystal system ... monoclinic
Space-group type ... No. 12
D(E_F) ... 12.4 states/eV/f.u.
ΔH_f (0 K) ... -0.32 eV per atom

```
12
Lattice="5.870 -2.661 0.000 5.870 2.661 0.000 -4.001 0.000 11.642" Properties=species:S:1:pos:R:3 pbc="T T T"
Pm -0.221 0.000 2.991
Pm 7.960 0.000 8.651
Nd 2.063 0.000 5.790
Nd 3.413 0.000 2.612
Nd 5.870 0.000 0.000
Nd 4.326 0.000 9.031
Nd 5.676 0.000 5.852
In -2.000 0.000 5.821
In -1.800 0.000 11.207
In 0.208 0.000 8.481
In 7.531 0.000 3.162
In 9.539 0.000 0.436
```

Here is crystalline PmNd6In2 at its relaxed geometry from Alexandria via LeMat-Bulk. Energies are from PBE.

Calculated values
V ... 295.8 Å³ per cell
Crystal system ... monoclinic
Space-group type ... No. 12
D(E_F) ... 11.4 states/eV/f.u.
Polymorph energy (0 for the lowest one) ... 0 meV per atom
ΔH_f (0 K) ... -0.20 eV per atom

```
9
Lattice="6.589 -1.941 0.000 6.589 1.941 0.000 -3.834 0.000 11.565" Properties=species:S:1:pos:R:3 pbc="T T T"
Pm 0.000 0.000 0.000
Nd -1.110 0.000 3.911
Nd 2.483 0.000 4.777
Nd 3.669 0.000 1.437
Nd 5.674 0.000 10.129
Nd 6.860 0.000 6.789
Nd 10.453 0.000 7.655
In 1.656 0.000 9.193
In 7.687 0.000 2.373
```

Here is crystalline Pm2Nd2In at its relaxed geometry from Alexandria via LeMat-Bulk. Energies are from PBE.

Calculated values
V ... 324.5 Å³ per cell
Crystal system ... monoclinic
Space-group type ... No. 12
D(E_F) ... 5.3 states/eV/f.u.
Polymorph energy (0 for the lowest one) ... 0 meV per atom
ΔH_f (0 K) ... -0.13 eV per atom

```
10
Lattice="4.382 -4.742 0.000 4.382 4.742 0.000 -3.799 0.000 7.807" Properties=species:S:1:pos:R:3 pbc="T T T"
Pm 0.722 2.978 6.121
Pm 4.243 2.978 1.686
Pm 0.722 -2.978 6.121
Pm 4.243 -2.978 1.686
Nd -0.427 0.000 4.785
Nd 2.727 0.000 0.613
Nd 2.238 0.000 7.194
Nd 5.392 0.000 3.022
In 2.482 1.552 3.903
In 2.482 -1.552 3.903
```

Here is crystalline Pm12Nd6In at its relaxed geometry from Alexandria via LeMat-Bulk. Energies are from PBE.

Calculated values
V ... 654.9 Å³ per cell
Crystal system ... trigonal
Space-group type ... No. 148
D(E_F) ... 28.0 states/eV/f.u.
ΔH_f (0 K) ... 0.06 eV per atom

```
19
Lattice="6.082 3.512 5.110 -6.082 3.512 5.110 0.000 -7.023 5.110" Properties=species:S:1:pos:R:3 pbc="T T T"
Pm -5.454 1.431 6.395
Pm -3.966 -4.007 8.936
Pm -2.094 -0.032 4.817
Pm 1.487 -5.439 6.395
Pm 1.074 -1.797 4.817
Pm 1.019 1.829 4.817
Pm -1.019 -1.829 10.514
Pm -1.074 1.797 10.514
Pm -1.487 5.439 8.936
Pm 2.094 0.032 10.514
Pm 3.966 4.007 6.395
Pm 5.454 -1.431 8.936
Nd -3.383 -0.803 7.956
Nd -0.997 -3.331 7.375
Nd -2.387 2.529 7.375
Nd 2.387 -2.529 7.956
Nd 0.997 3.331 7.956
Nd 3.383 0.803 7.375
In 0.000 0.000 7.665
```

Here is crystalline PmNd3In at its relaxed geometry from Alexandria via LeMat-Bulk. Energies are from PBE.

Calculated values
V ... 334.4 Å³ per cell
Crystal system ... trigonal
Space-group type ... No. 167
D(E_F) ... 7.7 states/eV/f.u.
Polymorph energy (0 for the lowest one) ... 140 meV per atom
ΔH_f (0 K) ... -0.05 eV per atom

```
10
Lattice="4.815 2.780 4.165 -4.815 2.780 4.165 0.000 -5.559 4.165" Properties=species:S:1:pos:R:3 pbc="T T T"
Pm 0.000 0.000 0.000
Pm 0.000 0.000 6.247
Nd -3.206 0.006 5.206
Nd -1.608 -2.774 7.288
Nd 1.598 -2.780 5.206
Nd -1.598 2.780 7.288
Nd 1.608 2.774 5.206
Nd 3.206 -0.006 7.288
In 0.000 0.000 3.123
In 0.000 0.000 9.370
```

Here is crystalline Pm3Nd2In2 at its relaxed geometry from Alexandria via LeMat-Bulk. Energies are from PBE.

Calculated values
V ... 214.5 Å³ per cell
Crystal system ... orthorhombic
Space-group type ... No. 65
D(E_F) ... 8.1 states/eV/f.u.
Polymorph energy (0 for the lowest one) ... 0 meV per atom
ΔH_f (0 K) ... -0.18 eV per atom

```
7
Lattice="2.388 -12.609 0.000 2.388 12.609 0.000 0.000 0.000 3.562" Properties=species:S:1:pos:R:3 pbc="T T T"
Pm 0.000 0.000 0.000
Pm 2.388 9.196 0.000
Pm 2.388 -9.196 0.000
Nd 2.388 5.288 1.781
Nd 2.388 -5.288 1.781
In 2.388 1.755 1.781
In 2.388 -1.755 1.781
```

Here is crystalline Pm5NdIn8 at its relaxed geometry from Alexandria via LeMat-Bulk. Energies are from PBE.

Calculated values
V ... 413.4 Å³ per cell
Crystal system ... tetragonal
Space-group type ... No. 82
D(E_F) ... 13.3 states/eV/f.u.
ΔH_f (0 K) ... -0.38 eV per atom

```
14
Lattice="-4.688 4.688 4.702 4.688 -4.688 4.702 4.688 4.688 -4.702" Properties=species:S:1:pos:R:3 pbc="T T T"
Pm 0.000 0.000 0.000
Pm 2.334 -1.182 3.538
Pm 3.506 2.355 1.164
Pm 2.355 5.871 -1.164
Pm 1.182 2.334 5.866
Nd 0.000 4.688 2.351
In 3.887 3.153 -1.975
In 6.233 0.793 0.401
In 0.793 3.144 -0.401
In 0.801 1.536 2.727
In 3.895 1.544 4.301
In 1.536 -0.801 6.677
In 3.153 5.489 1.975
In -1.544 3.895 5.103
```

Here is crystalline Pm2Nd7In2 at its relaxed geometry from Alexandria via LeMat-Bulk. Energies are from PBE.

Calculated values
V ... 365.7 Å³ per cell
Crystal system ... monoclinic
Space-group type ... No. 12
D(E_F) ... 13.8 states/eV/f.u.
ΔH_f (0 K) ... -0.14 eV per atom

```
11
Lattice="4.426 -4.974 0.000 4.426 4.974 0.000 -2.870 0.000 8.304" Properties=species:S:1:pos:R:3 pbc="T T T"
Pm 4.426 3.194 0.000
Pm 4.426 -3.194 0.000
Nd -0.147 1.773 5.573
Nd 2.973 0.000 0.705
Nd -0.147 -1.773 5.573
Nd 2.991 0.000 4.152
Nd 6.129 1.773 2.731
Nd 3.010 0.000 7.599
Nd 6.129 -1.773 2.731
In 0.145 0.000 2.719
In 5.838 0.000 5.586
```